Entry from Alexandria: a geometry-optimized PmTlPb structure (PBE).

Its crystal system is trigonal. The calculation puts the energy above the most stable polymorph in this dataset at 59 meV per atom.

The space group is P3m1 (No. 156) and the conventional cell measures 4.9370, 4.9370 and 4.3355 Å, with angles of 90.00, 90.00 and 120.00 degrees. Symmetry generates all atoms from Pm at (0.0000, 0.0000, 0.0000), Tl at (0.3333, 0.6667, 0.3327) and Pb at (0.6667, 0.3333, 0.6263).



Entry from Alexandria: a geometry-optimized PmTlPb structure (PBE).

Its crystal system is tetragonal. The calculation puts the energy above the most stable polymorph in this dataset at 145 meV per atom.

The space group is I4mm (No. 107) and the conventional cell measures 3.891, 3.891 and 11.741 Å, with angles of 90.00, 90.00 and 90.00 degrees. Symmetry generates all atoms from Pm at (0.000, 0.000, 0.000), Tl at (0.000, 0.000, 0.669) and Pb at (0.000, 0.000, 0.319).



Entry from Alexandria: a geometry-optimized Pm6Tl5Pb structure (PBE).

Its crystal system is monoclinic.

The space group is C2/m (No. 12) and the conventional cell measures 9.493, 16.522 and 5.502 Å, with angles of 90.00, 125.31 and 90.00 degrees. Symmetry generates all atoms from Pm at (0.250, 0.000, 0.250), Pm at (0.250, 0.166, 0.750), Tl at (0.000, 0.000, 0.500), Tl at (0.000, 0.166, 0.000), Tl at (0.000, 0.330, 0.500) and Pb at (0.000, 0.500, 0.000).



Entry from Alexandria: a geometry-optimized Pm3TlPb3 structure (PBE).

Its crystal system is hexagonal.

The space group is P6_3/m (No. 176) and the conventional cell measures 9.1067, 9.1067 and 5.9004 Å, with angles of 90.00, 90.00 and 120.00 degrees. Symmetry generates all atoms from Pm at (0.0893, 0.4472, 0.2500), Tl at (0.3333, 0.6667, 0.7500) and Pb at (0.0552, 0.2553, 0.7500).



Entry from Alexandria: a geometry-optimized Pm2Tl9Pb structure (PBE).

Its crystal system is tetragonal.

The space group is P4/mmm (No. 123) and the conventional cell measures 4.890, 4.890 and 14.546 Å, with angles of 90.00, 90.00 and 90.00 degrees. Symmetry generates all atoms from Pm at (0.000, 0.000, 0.160), Tl at (0.000, 0.500, 0.000), Tl at (0.000, 0.500, 0.330), Tl at (0.500, 0.500, 0.163), Tl at (0.500, 0.500, 0.500) and Pb at (0.000, 0.000, 0.500).



Entry from Alexandria: a geometry-optimized PmTl2Pb structure (PBE).

Its crystal system is tetragonal. The calculation puts the energy above the most stable polymorph in this dataset at 168 meV per atom.

The space group is P4/mmm (No. 123) and the conventional cell measures 4.021, 4.021 and 7.272 Å, with angles of 90.00, 90.00 and 90.00 degrees. Symmetry generates all atoms from Pm at (0.000, 0.000, 0.000), Tl at (0.500, 0.500, 0.258) and Pb at (0.000, 0.000, 0.500).



Entry from Alexandria: a geometry-optimized PmTlPb3 structure (PBE).

Its crystal system is orthorhombic.

The space group is Cmcm (No. 63) and the conventional cell measures 10.607, 10.878 and 5.994 Å, with angles of 90.00, 90.00 and 90.00 degrees. Symmetry generates all atoms from Pm at (0.000, 0.229, 0.250), Tl at (0.000, 0.069, 0.750), Pb at (0.000, 0.500, 0.000) and Pb at (0.191, 0.298, 0.750).



Entry from Alexandria: a geometry-optimized Pm3TlPb2 structure (PBE).

Its crystal system is orthorhombic. The calculation puts the energy above the most stable polymorph in this dataset at 21 meV per atom.

The space group is Pnma (No. 62) and the conventional cell measures 12.958, 4.821 and 11.975 Å, with angles of 90.00, 90.00 and 90.00 degrees. Symmetry generates all atoms from Pm at (0.034, 0.250, 0.124), Pm at (0.138, 0.750, 0.574), Pm at (0.199, 0.250, 0.819), Tl at (0.153, 0.250, 0.353), Pb at (0.004, 0.750, 0.329) and Pb at (0.180, 0.750, 0.038).



Entry from Alexandria: a geometry-optimized Pm3Tl2Pb2 structure (PBE).

Its crystal system is monoclinic.

The space group is C2/m (No. 12) and the conventional cell measures 11.920, 4.908 and 7.333 Å, with angles of 90.00, 102.30 and 90.00 degrees. Symmetry generates all atoms from Pm at (0.000, 0.000, 0.000), Pm at (0.155, 0.000, 0.590), Tl at (0.223, 0.500, 0.875) and Pb at (0.046, 0.500, 0.305).



Entry from Alexandria: a geometry-optimized Pm4Tl5Pb2 structure (PBE).

Its crystal system is monoclinic.

The space group is P2/m (No. 10) and the conventional cell measures 8.596, 3.843 and 10.065 Å, with angles of 90.00, 90.48 and 90.00 degrees. Symmetry generates all atoms from Pm at (0.215, 0.000, 0.372), Pm at (0.240, 0.000, 0.892), Tl at (0.141, 0.500, 0.628), Tl at (0.465, 0.500, 0.167), Tl at (0.500, 0.500, 0.500) and Pb at (0.099, 0.500, 0.131).



Entry from Alexandria: a geometry-optimized Pm2TlPb4 structure (PBE).

Its crystal system is monoclinic.

The space group is C2/m (No. 12) and the conventional cell measures 9.612, 9.572 and 6.804 Å, with angles of 90.00, 134.84 and 90.00 degrees. Symmetry generates all atoms from Pm at (0.250, 0.250, 0.000), Tl at (0.000, 0.000, 0.500), Pb at (0.000, 0.000, 0.000), Pb at (0.000, 0.500, 0.000) and Pb at (0.250, 0.250, 0.500).



Entry from Alexandria: a geometry-optimized Pm5TlPb6 structure (PBE).

Its crystal system is monoclinic. The calculation puts the energy above the most stable polymorph in this dataset at 0 meV per atom.

The space group is C2/m (No. 12) and the conventional cell measures 16.300, 9.349 and 4.898 Å, with angles of 90.00, 107.29 and 90.00 degrees. Symmetry generates all atoms from Pm at (0.000, 0.000, 0.000), Pm at (0.145, 0.500, 0.645), Pm at (0.172, 0.000, 0.671), Tl at (0.000, 0.500, 0.000), Pb at (0.000, 0.235, 0.500) and Pb at (0.170, 0.246, 0.170).



Entry from Alexandria: a geometry-optimized PmTl2Pb structure (PBE).

Its crystal system is cubic. The calculation puts the energy above the most stable polymorph in this dataset at 164 meV per atom.

The space group is Fm-3m (No. 225) and the conventional cell measures 7.825, 7.825 and 7.825 Å, with angles of 90.00, 90.00 and 90.00 degrees. Symmetry generates all atoms from Pm at (0.000, 0.000, 0.000), Tl at (0.250, 0.250, 0.250) and Pb at (0.000, 0.000, 0.500).



Entry from Alexandria: a geometry-optimized Pm12TlPb6 structure (PBE).

Its crystal system is trigonal.

The space group is R-3 (No. 148, hexagonal axes) and the conventional cell measures 14.0207, 14.0207 and 12.5106 Å, with angles of 90.00, 90.00 and 120.00 degrees. Symmetry generates all atoms from Pm at (0.0281, 0.8318, 0.3875), Pm at (0.0578, 0.8407, 0.8874), Tl at (0.0000, 0.0000, 0.0000) and Pb at (0.0393, 0.7705, 0.6449).



Entry from Alexandria: a geometry-optimized Pm5Tl2Pb2 structure (PBE).

Its crystal system is orthorhombic. The calculation puts the energy above the most stable polymorph in this dataset at 0 meV per atom.

The space group is Cmce (No. 64) and the conventional cell measures 16.229, 8.447 and 8.349 Å, with angles of 90.00, 90.00 and 90.00 degrees. Symmetry generates all atoms from Pm at (0.000, 0.000, 0.000), Pm at (0.139, 0.176, 0.330), Tl at (0.000, 0.128, 0.628) and Pb at (0.207, 0.000, 0.000).



Entry from Alexandria: a geometry-optimized Pm6Tl5Pb structure (PBE).

Its crystal system is orthorhombic.

The space group is Cmmm (No. 65) and the conventional cell measures 5.155, 15.478 and 8.771 Å, with angles of 90.00, 90.00 and 90.00 degrees. Symmetry generates all atoms from Pm at (0.000, 0.000, 0.250), Pm at (0.000, 0.333, 0.249), Tl at (0.000, 0.166, 0.000), Tl at (0.000, 0.170, 0.500), Tl at (0.000, 0.500, 0.000) and Pb at (0.000, 0.500, 0.500).



Entry from Alexandria: a geometry-optimized Pm6TlPb2 structure (PBE).

Its crystal system is hexagonal.

The space group is P-62m (No. 189) and the conventional cell measures 8.6152, 8.6152 and 4.5463 Å, with angles of 90.00, 90.00 and 120.00 degrees. Symmetry generates all atoms from Pm at (0.0000, 0.4074, 0.0000), Pm at (0.0000, 0.7428, 0.5000), Tl at (0.0000, 0.0000, 0.0000) and Pb at (0.3333, 0.6667, 0.5000).



Entry from Alexandria: a geometry-optimized Pm4TlPb2 structure (PBE).

Its crystal system is tetragonal.

The space group is I4/mmm (No. 139) and the conventional cell measures 6.003, 6.003 and 13.060 Å, with angles of 90.00, 90.00 and 90.00 degrees. Symmetry generates all atoms from Pm at (0.000, 0.500, 0.000), Pm at (0.000, 0.500, 0.250), Tl at (0.000, 0.000, 0.000) and Pb at (0.000, 0.000, 0.369).



Entry from Alexandria: a geometry-optimized PmTlPb structure (PBE).

Its crystal system is orthorhombic. The calculation puts the energy above the most stable polymorph in this dataset at 0 meV per atom.

The space group is Cmcm (No. 63) and the conventional cell measures 4.738, 16.690 and 4.503 Å, with angles of 90.00, 90.00 and 90.00 degrees. Symmetry generates all atoms from Pm at (0.000, 0.092, 0.250), Tl at (0.000, 0.257, 0.750) and Pb at (0.000, 0.428, 0.250).



Entry from Alexandria: a geometry-optimized PmTlPb structure (PBE).

Its crystal system is orthorhombic. The calculation puts the energy above the most stable polymorph in this dataset at 160 meV per atom.

The space group is Cmcm (No. 63) and the conventional cell measures 3.639, 17.892 and 5.817 Å, with angles of 90.00, 90.00 and 90.00 degrees. Symmetry generates all atoms from Pm at (0.000, 0.169, 0.250), Tl at (0.000, 0.000, 0.000) and Pb at (0.000, 0.348, 0.250).



Number 1: calculated density 10099 kg/m3, energy of formation from the pure elements -0.90 eV/f.u.. Number 2: calculated density 10398 kg/m3, energy of formation from the pure elements -0.64 eV/f.u.. Number 3: calculated density 9900 kg/m3, energy of formation from the pure elements -4.88 eV/f.u.. Number 4: calculated density 9882 kg/m3, energy of formation from the pure elements -2.12 eV/f.u.. Number 5: calculated density 11154 kg/m3, energy of formation from the pure elements -1.86 eV/f.u.. Number 6: calculated density 10745 kg/m3, energy of formation from the pure elements -0.62 eV/f.u.. Number 7: calculated density 9324 kg/m3, energy of formation from the pure elements -0.18 eV/f.u.. Number 8: calculated density 9356 kg/m3, energy of formation from the pure elements -2.51 eV/f.u.. Number 9: calculated density 9970 kg/m3, energy of formation from the pure elements -2.91 eV/f.u.. Number 10: calculated density 10070 kg/m3, energy of formation from the pure elements -3.31 eV/f.u.. Number 11: calculated density 9900 kg/m3, energy of formation from the pure elements -2.08 eV/f.u.. Number 12: calculated density 10124 kg/m3, energy of formation from the pure elements -5.52 eV/f.u.. Number 13: calculated density 10549 kg/m3, energy of formation from the pure elements -0.64 eV/f.u.. Number 14: calculated density 7456 kg/m3, energy of formation from the pure elements -4.05 eV/f.u.. Number 15: calculated density 8986 kg/m3, energy of formation from the pure elements -4.08 eV/f.u.. Number 16: calculated density 9962 kg/m3, energy of formation from the pure elements -4.90 eV/f.u.. Number 17: calculated density 8459 kg/m3, energy of formation from the pure elements -3.38 eV/f.u.. Number 18: calculated density 8459 kg/m3, energy of formation from the pure elements -1.14 eV/f.u.. Number 19: calculated density 10382 kg/m3, energy of formation from the pure elements -1.08 eV/f.u.. Number 20: calculated density 9762 kg/m3, energy of formation from the pure elements -0.60 eV/f.u..